1.
Eu2AgGe (GGA-PBEsol, optimized geometry); VASP energy = -7.85 eV/atom; space-group type = No. 225; crystal system = cubic; energy of formation from the pure elements = -0.508 eV/atom; D(E_F) = 4.500 states/eV/atom
1.0
7.3389 0.0000 0.0000
0.0000 7.3389 0.0000
0.0000 0.0000 7.3389
Eu Ag Ge
8 4 4
Direct
0.2500 0.2500 0.2500
0.2500 0.2500 0.7500
0.2500 0.7500 0.2500
0.2500 0.7500 0.7500
0.7500 0.2500 0.2500
0.7500 0.2500 0.7500
0.7500 0.7500 0.2500
0.7500 0.7500 0.7500
0.0000 0.0000 0.0000
0.0000 0.5000 0.5000
0.5000 0.0000 0.5000
0.5000 0.5000 0.0000
0.0000 0.0000 0.5000
0.0000 0.5000 0.0000
0.5000 0.0000 0.0000
0.5000 0.5000 0.5000

---

2.
YMg2Cu4 (GGA-PBEsol, optimized geometry); VASP energy = -4.08 eV/atom; space-group type = No. 139; crystal system = tetragonal; energy of formation from the pure elements = -0.139 eV/atom; D(E_F) = 0.528 states/eV/atom
1.0
6.5141 0.0000 0.0000
0.0000 6.5141 0.0000
0.0000 0.0000 5.2171
Y Mg Cu
2 4 8
Direct
0.0000 0.0000 0.0000
0.5000 0.5000 0.5000
0.0000 0.5000 0.2500
0.0000 0.5000 0.7500
0.5000 0.0000 0.2500
0.5000 0.0000 0.7500
0.1866 0.1866 0.5000
0.1866 0.8134 0.5000
0.3134 0.3134 0.0000
0.3134 0.6866 0.0000
0.6866 0.3134 0.0000
0.6866 0.6866 0.0000
0.8134 0.1866 0.5000
0.8134 0.8134 0.5000

---

3.
MgMnB2O5 (GGA-PBEsol, optimized geometry); VASP energy = -8.02 eV/atom; space-group type = No. 2; raw formation energy = -2.27 eV/atom; crystal system = triclinic; D(E_F) = 0.000 states/eV/atom
1.0
3.1740 0.0000 0.0000
0.2502 6.1798 0.0000
0.0267 2.3193 9.0890
Mg Mn B O
2 2 4 10
Direct
0.2318 0.1297 0.0993
0.7682 0.8703 0.9007
0.2516 0.7179 0.6385
0.7484 0.2821 0.3615
0.3142 0.1814 0.6514
0.3267 0.6203 0.1665
0.6733 0.3797 0.8335
0.6858 0.8186 0.3486
0.2112 0.4081 0.1760
0.2428 0.2195 0.5047
0.2628 0.9792 0.7496
0.2636 0.8049 0.0523
0.4628 0.3605 0.7030
0.5372 0.6395 0.2970
0.7364 0.1951 0.9477
0.7372 0.0208 0.2504
0.7572 0.7805 0.4953
0.7888 0.5919 0.8240

---

4.
Zn2HgPb (GGA-PBEsol, optimized geometry); VASP energy = -1.74 eV/atom; space-group type = No. 47; crystal system = orthorhombic; energy of formation from the pure elements = 0.189 eV/atom; D(E_F) = 0.381 states/eV/atom
1.0
3.6832 0.0000 0.0000
0.0000 4.4929 0.0000
0.0000 0.0000 5.0582
Zn Hg Pb
2 1 1
Direct
0.0000 0.0000 0.0000
0.0000 0.5000 0.5000
0.5000 0.0000 0.5000
0.5000 0.5000 0.0000

---

5.
HfTlOF2 (GGA-PBEsol, optimized geometry); VASP energy = -6.91 eV/atom; space-group type = No. 123; raw formation energy = -2.46 eV/atom; crystal system = tetragonal; D(E_F) = 0.448 states/eV/atom
1.0
4.3359 0.0000 0.0000
0.0000 4.3359 0.0000
0.0000 0.0000 4.0381
Hf Tl O F
1 1 1 2
Direct
0.0000 0.0000 0.0000
0.5000 0.5000 0.5000
0.0000 0.0000 0.5000
0.0000 0.5000 0.0000
0.5000 0.0000 0.0000

---

6.
LiLa2W (GGA-PBEsol, optimized geometry); VASP energy = -6.03 eV/atom; space-group type = No. 65; crystal system = orthorhombic; energy of formation from the pure elements = 0.589 eV/atom; D(E_F) = 1.317 states/eV/atom
1.0
7.7319 0.0000 0.0000
0.0000 7.8016 0.0000
0.0000 0.0000 3.1984
Li La W
2 4 2
Direct
0.0000 0.0000 0.0000
0.5000 0.5000 0.0000
0.2500 0.2500 0.5000
0.2500 0.7500 0.5000
0.7500 0.2500 0.5000
0.7500 0.7500 0.5000
0.0000 0.5000 0.0000
0.5000 0.0000 0.0000

---

7.
TlGaH2 (GGA-PBEsol, optimized geometry); VASP energy = -2.58 eV/atom; space-group type = No. 225; crystal system = cubic; D(E_F) = 0.227 states/eV/atom
1.0
6.0119 0.0000 0.0000
0.0000 6.0119 0.0000
0.0000 0.0000 6.0119
Tl Ga H
4 4 8
Direct
0.0000 0.0000 0.0000
0.0000 0.5000 0.5000
0.5000 0.0000 0.5000
0.5000 0.5000 0.0000
0.0000 0.0000 0.5000
0.0000 0.5000 0.0000
0.5000 0.0000 0.0000
0.5000 0.5000 0.5000
0.2500 0.2500 0.2500
0.2500 0.2500 0.7500
0.2500 0.7500 0.2500
0.2500 0.7500 0.7500
0.7500 0.2500 0.2500
0.7500 0.2500 0.7500
0.7500 0.7500 0.2500
0.7500 0.7500 0.7500

---

8.
NbHRh3 (GGA-PBEsol, optimized geometry); VASP energy = -8.14 eV/atom; space-group type = No. 221; crystal system = cubic; D(E_F) = 0.580 states/eV/atom
1.0
3.8987 0.0000 0.0000
0.0000 3.8987 0.0000
0.0000 0.0000 3.8987
Nb H Rh
1 1 3
Direct
0.0000 0.0000 0.0000
0.5000 0.5000 0.5000
0.0000 0.5000 0.5000
0.5000 0.0000 0.5000
0.5000 0.5000 0.0000

---

9.
CaAs2Cl (GGA-PBEsol, optimized geometry); VASP energy = -4.55 eV/atom; space-group type = No. 12; raw formation energy = -0.96 eV/atom; crystal system = monoclinic; D(E_F) = 0.276 states/eV/atom
1.0
11.9582 0.0000 0.0000
0.0000 3.7596 0.0000
-0.6407 0.0000 4.0259
Ca As Cl
2 4 2
Direct
0.0000 0.0000 0.0000
0.5000 0.5000 0.0000
0.2408 0.0000 0.8034
0.2592 0.5000 0.1966
0.7408 0.5000 0.8034
0.7592 0.0000 0.1966
0.0000 0.5000 0.5000
0.5000 0.0000 0.5000

---

10.
Sr2LiH2N (GGA-PBEsol, optimized geometry); VASP energy = -4.02 eV/atom; space-group type = No. 62; crystal system = orthorhombic
1.0
7.1731 0.0000 0.0000
0.0000 3.7973 0.0000
0.0000 0.0000 14.1727
Sr Li H N
8 4 8 4
Direct
0.1165 0.2500 0.0867
0.1398 0.2500 0.3947
0.3602 0.7500 0.8947
0.3835 0.7500 0.5867
0.6165 0.2500 0.4133
0.6398 0.2500 0.1053
0.8602 0.7500 0.6053
0.8835 0.7500 0.9133
0.1221 0.2500 0.7678
0.3779 0.7500 0.2678
0.6221 0.2500 0.7322
0.8779 0.7500 0.2322
0.1160 0.2500 0.5748
0.1417 0.7500 0.7289
0.3583 0.2500 0.2289
0.3840 0.7500 0.0748
0.6160 0.2500 0.9252
0.6417 0.7500 0.7711
0.8583 0.2500 0.2711
0.8840 0.7500 0.4252
0.1300 0.2500 0.9046
0.3700 0.7500 0.4046
0.6300 0.2500 0.5954
0.8700 0.7500 0.0954

---

11.
EuClO (GGA-PBEsol, optimized geometry); VASP energy = -8.54 eV/atom; space-group type = No. 129; raw formation energy = -2.60 eV/atom; crystal system = tetragonal; D(E_F) = 1.685 states/eV/atom
1.0
3.9279 0.0000 0.0000
0.0000 3.9279 0.0000
0.0000 0.0000 6.7228
Eu Cl O
2 2 2
Direct
0.2500 0.2500 0.1765
0.7500 0.7500 0.8235
0.2500 0.2500 0.6306
0.7500 0.7500 0.3694
0.2500 0.7500 0.0000
0.7500 0.2500 0.0000

---

12.
Zr2BeZn (GGA-PBEsol, optimized geometry); VASP energy = -6.11 eV/atom; space-group type = No. 123; crystal system = tetragonal; energy of formation from the pure elements = -0.171 eV/atom; D(E_F) = 0.220 states/eV/atom
1.0
4.5548 0.0000 0.0000
0.0000 4.5548 0.0000
0.0000 0.0000 3.2203
Zr Be Zn
2 1 1
Direct
0.0000 0.5000 0.0000
0.5000 0.0000 0.0000
0.0000 0.0000 0.5000
0.5000 0.5000 0.5000

---

13.
SrYRe (GGA-PBEsol, optimized geometry); VASP energy = -6.51 eV/atom; space-group type = No. 156; crystal system = trigonal; energy of formation from the pure elements = 0.819 eV/atom; D(E_F) = 0.584 states/eV/atom
1.0
5.1139 0.0000 0.0000
-2.5569 4.4287 0.0000
0.0000 0.0000 3.0989
Sr Y Re
1 1 1
Direct
0.0000 0.0000 0.0000
0.3333 0.6667 0.5031
0.6667 0.3333 0.4971

---

14.
Gd2CuO4 (GGA-PBEsol, optimized geometry); VASP energy = -10.43 eV/atom; space-group type = No. 139; raw formation energy = -2.68 eV/atom; crystal system = tetragonal; D(E_F) = 0.044 states/eV/atom
1.0
3.8536 0.0000 0.0000
0.0000 3.8536 0.0000
0.0000 0.0000 11.7809
Gd Cu O
4 2 8
Direct
0.0000 0.0000 0.1500
0.0000 0.0000 0.8500
0.5000 0.5000 0.3500
0.5000 0.5000 0.6500
0.0000 0.0000 0.5000
0.5000 0.5000 0.0000
0.0000 0.5000 0.0000
0.0000 0.5000 0.2500
0.0000 0.5000 0.5000
0.0000 0.5000 0.7500
0.5000 0.0000 0.0000
0.5000 0.0000 0.2500
0.5000 0.0000 0.5000
0.5000 0.0000 0.7500

---

15.
Li3SbP2O8 (GGA-PBEsol, optimized geometry); VASP energy = -6.73 eV/atom; space-group type = No. 11; raw formation energy = -2.15 eV/atom; crystal system = monoclinic; D(E_F) = 0.000 states/eV/atom
1.0
4.6639 0.0000 0.0000
0.0000 6.7426 0.0000
-0.9282 0.0000 10.1104
Li Sb P O
6 2 4 16
Direct
0.0000 0.0000 0.0000
0.0000 0.5000 0.0000
0.0138 0.2500 0.2617
0.5000 0.0000 0.5000
0.5000 0.5000 0.5000
0.9862 0.7500 0.7383
0.4499 0.7500 0.2181
0.5501 0.2500 0.7819
0.0968 0.2500 0.5756
0.4210 0.2500 0.0830
0.5790 0.7500 0.9170
0.9032 0.7500 0.4244
0.2082 0.2500 0.4391
0.2327 0.7500 0.4290
0.2395 0.0706 0.6596
0.2395 0.4294 0.6596
0.2531 0.7500 0.9192
0.2651 0.2500 0.9360
0.2967 0.0671 0.1497
0.2967 0.4329 0.1497
0.7033 0.5671 0.8503
0.7033 0.9329 0.8503
0.7349 0.7500 0.0640
0.7469 0.2500 0.0808
0.7605 0.5706 0.3404
0.7605 0.9294 0.3404
0.7673 0.2500 0.5710
0.7918 0.7500 0.5609

---

16.
ReIN2 (GGA-PBEsol, optimized geometry); VASP energy = -7.83 eV/atom; space-group type = No. 227; raw formation energy = 0.21 eV/atom; crystal system = cubic; D(E_F) = 0.626 states/eV/atom
1.0
0.0000 4.2149 4.2149
4.2149 0.0000 4.2149
4.2149 4.2149 0.0000
Re I N
2 2 4
Direct
0.1250 0.1250 0.1250
0.8750 0.8750 0.8750
0.3750 0.3750 0.3750
0.6250 0.6250 0.6250
0.0000 0.0000 0.0000
0.0000 0.0000 0.5000
0.0000 0.5000 0.0000
0.5000 0.0000 0.0000

---

17.
Sr2CuCO5 (GGA-PBEsol, optimized geometry); VASP energy = -6.91 eV/atom; space-group type = No. 87; raw formation energy = -2.04 eV/atom; crystal system = tetragonal; D(E_F) = 0.088 states/eV/atom
1.0
-3.8697 3.8697 7.5155
3.8697 -3.8697 7.5155
3.8697 3.8697 -7.5155
Sr Cu C O
8 4 4 20
Direct
0.1282 0.1282 0.0000
0.1357 0.6357 0.5000
0.3516 0.3516 0.0000
0.3643 0.8643 0.5000
0.6357 0.1357 0.5000
0.6484 0.6484 0.0000
0.8643 0.3643 0.5000
0.8718 0.8718 0.0000
0.0000 0.0000 0.5000
0.0000 0.5000 0.0000
0.5000 0.0000 0.0000
0.5000 0.5000 0.5000
0.2461 0.7369 0.9830
0.2631 0.2461 0.5092
0.7369 0.7539 0.4908
0.7539 0.2631 0.0170
0.0099 0.7605 0.2497
0.0777 0.7347 0.8123
0.1874 0.2533 0.5902
0.2395 0.4893 0.2495
0.2398 0.9901 0.7505
0.2533 0.6631 0.0659
0.2653 0.0777 0.3430
0.3369 0.4028 0.5902
0.4028 0.8126 0.0659
0.4893 0.2398 0.2497
0.5107 0.7602 0.7503
0.5972 0.1874 0.9341
0.6631 0.5972 0.4098
0.7347 0.9223 0.6570
0.7467 0.3369 0.9341
0.7602 0.0099 0.2495
0.7605 0.5107 0.7505
0.8126 0.7467 0.4098
0.9223 0.2653 0.1877
0.9901 0.2395 0.7503

---

18.
HfIO2 (GGA-PBEsol, optimized geometry); VASP energy = -7.93 eV/atom; space-group type = No. 227; raw formation energy = -2.24 eV/atom; crystal system = cubic; D(E_F) = 0.182 states/eV/atom
1.0
0.0000 4.4608 4.4608
4.4608 0.0000 4.4608
4.4608 4.4608 0.0000
Hf I O
2 2 4
Direct
0.1250 0.1250 0.1250
0.8750 0.8750 0.8750
0.3750 0.3750 0.3750
0.6250 0.6250 0.6250
0.0000 0.0000 0.0000
0.0000 0.0000 0.5000
0.0000 0.5000 0.0000
0.5000 0.0000 0.0000

---

19.
KZr2Te (GGA-PBEsol, optimized geometry); VASP energy = -5.60 eV/atom; space-group type = No. 123; raw formation energy = 0.11 eV/atom; crystal system = tetragonal; D(E_F) = 0.937 states/eV/atom
1.0
3.4380 0.0000 0.0000
0.0000 3.4380 0.0000
0.0000 0.0000 9.9950
K Zr Te
1 2 1
Direct
0.0000 0.0000 0.0000
0.5000 0.5000 0.3367
0.5000 0.5000 0.6633
0.0000 0.0000 0.5000

---

20.
Hf2SiHgB (GGA-PBEsol, optimized geometry); VASP energy = -6.83 eV/atom; space-group type = No. 123; raw formation energy = 0.04 eV/atom; crystal system = tetragonal; D(E_F) = 0.432 states/eV/atom
1.0
4.5606 0.0000 0.0000
0.0000 4.5606 0.0000
0.0000 0.0000 4.2240
Hf Si Hg B
2 1 1 1
Direct
0.0000 0.5000 0.0000
0.5000 0.0000 0.0000
0.0000 0.0000 0.5000
0.5000 0.5000 0.5000
0.5000 0.5000 0.0000

---

21.
AlFeP2Cl (GGA-PBEsol, optimized geometry); VASP energy = -5.07 eV/atom; space-group type = No. 123; raw formation energy = 0.26 eV/atom; crystal system = tetragonal; D(E_F) = 0.675 states/eV/atom
1.0
4.2332 0.0000 0.0000
0.0000 4.2332 0.0000
0.0000 0.0000 4.9002
Al Fe P Cl
1 1 2 1
Direct
0.0000 0.0000 0.0000
0.5000 0.5000 0.5000
0.0000 0.5000 0.5000
0.5000 0.0000 0.5000
0.5000 0.5000 0.0000